Run w
First-principles (GGA-PBEsol) data for an optimized crystal structure of Sr2TlBr, as listed in Alexandria via LeMat-Bulk.

Unit cell a=5.473 b=5.473 c=8.641 alpha=90.00 beta=90.00 gamma=90.00
Element x y z (fractional)
Sr (0.000, 0.500, 0.250)
Sr (0.000, 0.500, 0.750)
Sr (0.500, 0.000, 0.250)
Sr (0.500, 0.000, 0.750)
Tl (0.000, 0.000, 0.000)
Tl (0.500, 0.500, 0.500)
Br (0.000, 0.000, 0.500)
Br (0.500, 0.500, 0.000)

=====

Run x
First-principles (GGA-PBEsol) data for an optimized crystal structure of Sr2TlBr, as listed in Alexandria via LeMat-Bulk.

Unit cell a=4.075 b=3.905 c=8.837 alpha=90.00 beta=90.21 gamma=90.00
Element x y z (fractional)
Sr (0.002, 0.000, 0.223)
Sr (0.998, 0.000, 0.777)
Tl (0.500, 0.500, 0.000)
Br (0.000, 0.500, 0.500)

=====

Most stable: run x (next structure +247 meV/atom)

=====

Run w
First-principles (GGA-PBEsol) data for an optimized crystal structure of Sr2TlBr, as listed in Alexandria via LeMat-Bulk.

Unit cell a=4.338 b=4.338 c=25.487 alpha=90.00 beta=90.00 gamma=120.00
Element x y z (fractional)
Sr (0.000, 0.000, 0.250)
Sr (0.000, 0.000, 0.750)
Sr (0.333, 0.667, 0.417)
Sr (0.333, 0.667, 0.917)
Sr (0.667, 0.333, 0.083)
Sr (0.667, 0.333, 0.583)
Tl (0.000, 0.000, 0.000)
Tl (0.333, 0.667, 0.667)
Tl (0.667, 0.333, 0.333)
Br (0.000, 0.000, 0.500)
Br (0.333, 0.667, 0.167)
Br (0.667, 0.333, 0.833)

=====

Run x
First-principles (GGA-PBEsol) data for an optimized crystal structure of Sr2TlBr, as listed in Alexandria via LeMat-Bulk.

Unit cell a=4.605 b=4.605 c=6.603 alpha=90.00 beta=90.00 gamma=90.00
Element x y z (fractional)
Sr (0.000, 0.000, 0.000)
Sr (0.500, 0.500, 0.500)
Tl (0.000, 0.000, 0.500)
Br (0.500, 0.500, 0.000)

=====

Most stable: run w (next structure +38 meV/atom)

=====

Run w
First-principles (GGA-PBEsol) data for an optimized crystal structure of SrY3Br, as listed in Alexandria via LeMat-Bulk.

Unit cell a=5.476 b=5.476 c=5.476 alpha=90.00 beta=90.00 gamma=90.00
Element x y z (fractional)
Sr (0.000, 0.000, 0.000)
Y (0.000, 0.500, 0.500)
Y (0.500, 0.000, 0.500)
Y (0.500, 0.500, 0.000)
Br (0.500, 0.500, 0.500)

=====

Run x
First-principles (GGA-PBEsol) data for an optimized crystal structure of SrY3Br, as listed in Alexandria via LeMat-Bulk.

Unit cell a=5.658 b=5.658 c=5.658 alpha=90.00 beta=90.00 gamma=90.00
Element x y z (fractional)
Sr (0.000, 0.000, 0.000)
Y (0.000, 0.000, 0.500)
Y (0.000, 0.500, 0.000)
Y (0.500, 0.000, 0.000)
Br (0.500, 0.500, 0.500)

=====

Most stable: run w (next structure +1274 meV/atom)

=====

Run w
First-principles (GGA-PBEsol) data for an optimized crystal structure of SrZnBr, as listed in Alexandria via LeMat-Bulk.

Unit cell a=3.865 b=3.865 c=12.111 alpha=90.00 beta=90.00 gamma=90.00
Element x y z (fractional)
Sr (0.000, 0.000, 0.000)
Sr (0.500, 0.500, 0.500)
Zn (0.000, 0.000, 0.348)
Zn (0.500, 0.500, 0.848)
Br (0.000, 0.000, 0.630)
Br (0.500, 0.500, 0.130)

=====

Run x
First-principles (GGA-PBEsol) data for an optimized crystal structure of SrZnBr, as listed in Alexandria via LeMat-Bulk.

Unit cell a=7.220 b=7.220 c=7.220 alpha=90.00 beta=90.00 gamma=90.00
Element x y z (fractional)
Sr (0.000, 0.000, 0.000)
Sr (0.000, 0.500, 0.500)
Sr (0.500, 0.000, 0.500)
Sr (0.500, 0.500, 0.000)
Zn (0.250, 0.250, 0.250)
Zn (0.250, 0.750, 0.750)
Zn (0.750, 0.250, 0.750)
Zn (0.750, 0.750, 0.250)
Br (0.000, 0.000, 0.500)
Br (0.000, 0.500, 0.000)
Br (0.500, 0.000, 0.000)
Br (0.500, 0.500, 0.500)

=====

Most stable: run w (next structure +262 meV/atom)

=====

Run w
First-principles (GGA-PBEsol) data for an optimized crystal structure of SrZr2Br, as listed in Alexandria via LeMat-Bulk.

Unit cell a=4.114 b=4.114 c=6.740 alpha=90.00 beta=90.00 gamma=90.00
Element x y z (fractional)
Sr (0.000, 0.000, 0.000)
Zr (0.000, 0.500, 0.500)
Zr (0.500, 0.000, 0.500)
Br (0.500, 0.500, 0.000)

=====

Run x
First-principles (GGA-PBEsol) data for an optimized crystal structure of SrZr2Br, as listed in Alexandria via LeMat-Bulk.

Unit cell a=5.716 b=11.505 c=3.313 alpha=90.00 beta=90.00 gamma=90.00
Element x y z (fractional)
Sr (0.000, 0.000, 0.000)
Sr (0.500, 0.500, 0.000)
Zr (0.250, 0.250, 0.500)
Zr (0.250, 0.750, 0.500)
Zr (0.750, 0.250, 0.500)
Zr (0.750, 0.750, 0.500)
Br (0.000, 0.500, 0.000)
Br (0.500, 0.000, 0.000)

=====

Run y
First-principles (GGA-PBEsol) data for an optimized crystal structure of SrZr2Br, as listed in Alexandria via LeMat-Bulk.

Unit cell a=3.334 b=5.664 c=5.975 alpha=90.00 beta=90.00 gamma=90.00
Element x y z (fractional)
Sr (0.000, 0.000, 0.000)
Zr (0.500, 0.234, 0.500)
Zr (0.500, 0.766, 0.500)
Br (0.000, 0.500, 0.000)

=====

Run z
First-principles (GGA-PBEsol) data for an optimized crystal structure of SrZr2Br, as listed in Alexandria via LeMat-Bulk.

Unit cell a=3.244 b=5.091 c=12.248 alpha=90.00 beta=90.00 gamma=90.00
Element x y z (fractional)
Sr (0.000, 0.000, 0.000)
Sr (0.500, 0.500, 0.500)
Zr (0.000, 0.500, 0.217)
Zr (0.000, 0.500, 0.783)
Zr (0.500, 0.000, 0.283)
Zr (0.500, 0.000, 0.717)
Br (0.000, 0.000, 0.500)
Br (0.500, 0.500, 0.000)

=====

Most stable: run z (next structure +237 meV/atom)

=====

Run w
First-principles (GGA-PBEsol) data for an optimized crystal structure of SrZrBr2, as listed in Alexandria via LeMat-Bulk.

Unit cell a=3.794 b=3.809 c=13.472 alpha=90.00 beta=90.00 gamma=90.00
Element x y z (fractional)
Sr (0.000, 0.000, 0.000)
Sr (0.500, 0.500, 0.500)
Zr (0.000, 0.500, 0.249)
Zr (0.500, 0.000, 0.749)
Br (0.000, 0.000, 0.400)
Br (0.000, 0.500, 0.675)
Br (0.500, 0.000, 0.175)
Br (0.500, 0.500, 0.900)

=====

Run x
First-principles (GGA-PBEsol) data for an optimized crystal structure of SrZrBr2, as listed in Alexandria via LeMat-Bulk.

Unit cell a=3.484 b=4.727 c=6.622 alpha=90.00 beta=90.00 gamma=90.00
Element x y z (fractional)
Sr (0.000, 0.000, 0.000)
Zr (0.500, 0.000, 0.500)
Br (0.000, 0.500, 0.500)
Br (0.500, 0.500, 0.000)

=====

Most stable: run w (next structure +140 meV/atom)

=====

Run w
First-principles (GGA-PBEsol) data for an optimized crystal structure of SrZrBr2, as listed in Alexandria via LeMat-Bulk.

Unit cell a=3.503 b=6.445 c=9.670 alpha=90.00 beta=90.00 gamma=90.00
Element x y z (fractional)
Sr (0.000, 0.000, 0.000)
Sr (0.500, 0.500, 0.500)
Zr (0.000, 0.000, 0.500)
Zr (0.500, 0.500, 0.000)
Br (0.000, 0.500, 0.218)
Br (0.000, 0.500, 0.782)
Br (0.500, 0.000, 0.282)
Br (0.500, 0.000, 0.718)

=====

Run x
First-principles (GGA-PBEsol) data for an optimized crystal structure of SrZrBr2, as listed in Alexandria via LeMat-Bulk.

Unit cell a=3.443 b=6.536 c=9.536 alpha=90.00 beta=90.00 gamma=90.00
Element x y z (fractional)
Sr (0.000, 0.000, 0.000)
Sr (0.500, 0.500, 0.000)
Zr (0.000, 0.000, 0.500)
Zr (0.500, 0.500, 0.500)
Br (0.000, 0.500, 0.272)
Br (0.000, 0.500, 0.728)
Br (0.500, 0.000, 0.272)
Br (0.500, 0.000, 0.728)

=====

Most stable: run w (next structure +72 meV/atom)

=====

Run w
First-principles (GGA-PBEsol) data for an optimized crystal structure of TaTcBr2, as listed in Alexandria via LeMat-Bulk.

Unit cell a=6.365 b=6.365 c=6.365 alpha=90.00 beta=90.00 gamma=90.00
Element x y z (fractional)
Ta (0.000, 0.000, 0.000)
Ta (0.000, 0.500, 0.500)
Ta (0.500, 0.000, 0.500)
Ta (0.500, 0.500, 0.000)
Tc (0.000, 0.000, 0.500)
Tc (0.000, 0.500, 0.000)
Tc (0.500, 0.000, 0.000)
Tc (0.500, 0.500, 0.500)
Br (0.250, 0.250, 0.250)
Br (0.250, 0.250, 0.750)
Br (0.250, 0.750, 0.250)
Br (0.250, 0.750, 0.750)
Br (0.750, 0.250, 0.250)
Br (0.750, 0.250, 0.750)
Br (0.750, 0.750, 0.250)
Br (0.750, 0.750, 0.750)

=====

Run x
First-principles (GGA-PBEsol) data for an optimized crystal structure of TaTcBr2, as listed in Alexandria via LeMat-Bulk.

Unit cell a=4.098 b=3.297 c=7.166 alpha=90.00 beta=104.65 gamma=90.00
Element x y z (fractional)
Ta (0.000, 0.000, 0.000)
Tc (0.454, 0.500, 0.055)
Br (0.583, 0.500, 0.733)
Br (0.872, 0.000, 0.331)

=====

Run y
First-principles (GGA-PBEsol) data for an optimized crystal structure of TaTcBr2, as listed in Alexandria via LeMat-Bulk.

Unit cell a=3.308 b=3.308 c=26.967 alpha=90.00 beta=90.00 gamma=120.00
Element x y z (fractional)
Ta (0.000, 0.000, 0.000)
Ta (0.333, 0.667, 0.667)
Ta (0.667, 0.333, 0.333)
Tc (0.000, 0.000, 0.728)
Tc (0.333, 0.667, 0.395)
Tc (0.667, 0.333, 0.062)
Br (0.000, 0.000, 0.259)
Br (0.000, 0.000, 0.470)
Br (0.333, 0.667, 0.137)
Br (0.333, 0.667, 0.926)
Br (0.667, 0.333, 0.593)
Br (0.667, 0.333, 0.804)

=====

Most stable: run y (next structure +218 meV/atom)